[1]
An optimized crystal structure of Pm4AlCdAg2. Source: Alexandria via LeMat-Bulk, functional PBE.

Unit cell a=5.3079 b=5.3079 c=9.2287 alpha=73.29 beta=73.29 gamma=60.00
With the nearest neighbours (Å) after each atom.
Fractional positions:
Pm1 0.8728 0.8728 0.3816  3 Al 3.23, 4 Ag 3.25-3.29, 1 Cd 3.32
Pm2 0.1272 0.1272 0.6184  3 Al 3.23, 4 Ag 3.25-3.29, 1 Cd 3.32
Pm3 0.3775 0.3775 0.8675  1 Al 3.20, 4 Ag 3.22-3.28, 3 Cd 3.27
Pm4 0.6225 0.6225 0.1325  1 Al 3.20, 4 Ag 3.22-3.28, 3 Cd 3.27
Ag1 0.2517 0.2517 0.2448  8 Pm 3.22-3.29
Ag2 0.7483 0.7483 0.7552  8 Pm 3.22-3.29
Cd1 0.0000 0.0000 0.0000  8 Pm 3.27-3.32
Al1 0.5000 0.5000 0.5000  8 Pm 3.20-3.23

Total magnetic moment   0.18 μB per cell
Energy   -3.96 eV/atom
Energy of formation from the pure elements   -287.6 meV per atom
SG   R-3m

***

[2]
An optimized crystal structure of PmAlCdAg. Source: Alexandria via LeMat-Bulk, functional PBE.

Unit cell a=4.9861 b=4.9861 c=4.9861 alpha=60.00 beta=60.00 gamma=60.00
With the nearest neighbours (Å) after each atom.
Fractional positions:
Pm1 0.2500 0.2500 0.2500  4 Al 3.05, 4 Ag 3.05
Cd1 0.7500 0.7500 0.7500  4 Ag 3.05, 4 Al 3.05
Al1 0.5000 0.5000 0.5000  4 Cd 3.05, 4 Pm 3.05
Ag1 0.0000 0.0000 0.0000  4 Cd 3.05, 4 Pm 3.05

Total magnetic moment   0.00 μB per cell
Energy   -3.33 eV/atom
Energy of formation from the pure elements   -265.2 meV per atom
SG   F-43m

***

[3]
An optimized crystal structure of PmAlCd2Ag4. Source: Alexandria via LeMat-Bulk, functional PBE.

Unit cell a=4.7225 b=4.7225 c=9.0549 alpha=74.88 beta=74.88 gamma=60.00
With the nearest neighbours (Å) after each atom.
Fractional positions:
Ag1 0.6040 0.6040 0.1880  1 Al 2.69, 3 Cd 2.78
Ag2 0.1335 0.1335 0.5995  3 Al 2.86, 4 Cd 3.02-3.03
Ag3 0.8665 0.8665 0.4005  3 Al 2.86, 4 Cd 3.02-3.03
Ag4 0.3960 0.3960 0.8120  1 Al 2.69, 3 Cd 2.78
Pm1 0.0000 0.0000 0.0000  8 Ag 3.17-3.46, 6 Cd 3.47
Cd1 0.7496 0.7496 0.7512  7 Ag 2.78-3.03
Cd2 0.2504 0.2504 0.2488  7 Ag 2.78-3.03
Al1 0.5000 0.5000 0.5000  8 Ag 2.69-2.86

Total magnetic moment   0.00 μB per cell
Energy   -2.83 eV/atom
Energy of formation from the pure elements   -118.7 meV per atom
SG   R-3m

***

[4]
An optimized crystal structure of Pr4AlCdAg2. Source: Alexandria via LeMat-Bulk, functional PBE.

Unit cell a=5.3838 b=5.3838 c=9.3516 alpha=73.27 beta=73.27 gamma=60.00
With the nearest neighbours (Å) after each atom.
Fractional positions:
Pr1 0.3777 0.3777 0.8670  1 Al 3.24, 4 Ag 3.26-3.32, 3 Cd 3.32
Pr2 0.1273 0.1273 0.6180  3 Al 3.28, 4 Ag 3.31-3.34, 1 Cd 3.37
Pr3 0.8727 0.8727 0.3820  3 Al 3.28, 4 Ag 3.31-3.34, 1 Cd 3.37
Pr4 0.6223 0.6223 0.1330  1 Al 3.24, 4 Ag 3.26-3.32, 3 Cd 3.32
Ag1 0.2523 0.2523 0.2431  8 Pr 3.26-3.34
Ag2 0.7477 0.7477 0.7569  8 Pr 3.26-3.34
Al1 0.5000 0.5000 0.5000  8 Pr 3.24-3.28
Cd1 0.0000 0.0000 0.0000  8 Pr 3.32-3.37

Total magnetic moment   0.58 μB per cell
Energy   -3.96 eV/atom
Energy of formation from the pure elements   -271.7 meV per atom
SG   R-3m

***

[5]
An optimized crystal structure of PrAlCd2Ag4. Source: Alexandria via LeMat-Bulk, functional PBE.

Unit cell a=4.7101 b=4.7101 c=9.2564 alpha=75.26 beta=75.26 gamma=60.00
With the nearest neighbours (Å) after each atom.
Fractional positions:
Pr1 0.0000 0.0000 0.0000  8 Ag 3.22-3.58, 6 Cd 3.53
Ag1 0.8650 0.8650 0.4051  3 Al 2.85, 4 Cd 3.01-3.03
Ag2 0.6017 0.6017 0.1950  1 Al 2.70, 3 Cd 2.77
Ag3 0.1350 0.1350 0.5949  3 Al 2.85, 4 Cd 3.01-3.03
Ag4 0.3983 0.3983 0.8050  1 Al 2.70, 3 Cd 2.77
Cd1 0.2485 0.2485 0.2545  7 Ag 2.77-3.03
Cd2 0.7515 0.7515 0.7455  7 Ag 2.77-3.03
Al1 0.5000 0.5000 0.5000  8 Ag 2.70-2.85

Total magnetic moment   0.00 μB per cell
Energy   -2.84 eV/atom
Energy of formation from the pure elements   -118.9 meV per atom
SG   R-3m

***

[6]
An optimized crystal structure of PrAlCdAg. Source: Alexandria via LeMat-Bulk, functional PBE.

Unit cell a=5.0321 b=5.0321 c=5.0321 alpha=60.00 beta=60.00 gamma=60.00
With the nearest neighbours (Å) after each atom.
Fractional positions:
Al1 0.7500 0.7500 0.7500  4 Pr 3.08, 4 Cd 3.08
Ag1 0.2500 0.2500 0.2500  4 Pr 3.08, 4 Cd 3.08
Cd1 0.0000 0.0000 0.0000  4 Al 3.08, 4 Ag 3.08
Pr1 0.5000 0.5000 0.5000  4 Al 3.08, 4 Ag 3.08

Total magnetic moment   0.00 μB per cell
Energy   -3.33 eV/atom
Energy of formation from the pure elements   -256.9 meV per atom
SG   F-43m

***

[7]
An optimized crystal structure of Pr2Al3CdAg4. Source: Alexandria via LeMat-Bulk, functional PBE.

Unit cell a=4.4489 b=4.4489 c=11.0945 alpha=90.00 beta=90.00 gamma=90.00
With the nearest neighbours (Å) after each atom.
Fractional positions:
Al1 0.0000 0.5000 0.1269  5 Ag 2.53-2.63
Al2 0.0000 0.0000 0.5000  4 Ag 2.75
Al3 0.5000 0.0000 0.8731  5 Ag 2.53-2.63
Ag1 0.0000 0.5000 0.3548  3 Al 2.53-2.75, 2 Cd 2.75
Ag2 0.5000 0.5000 0.0000  4 Al 2.63
Ag3 0.5000 0.0000 0.6452  3 Al 2.53-2.75, 2 Cd 2.75
Ag4 0.0000 0.0000 0.0000  4 Al 2.63
Pr1 0.0000 0.5000 0.7590  8 Ag 3.39-3.48, 6 Al 3.39-3.63, 2 Cd 3.63
Pr2 0.5000 0.0000 0.2410  8 Ag 3.39-3.48, 6 Al 3.39-3.63, 2 Cd 3.63
Cd1 0.5000 0.5000 0.5000  4 Ag 2.75

Total magnetic moment   0.00 μB per cell
Energy   -3.60 eV/atom
Energy of formation from the pure elements   -287.0 meV per atom
SG   P-4m2

***

[8]
An optimized crystal structure of PuAlCdAg. Source: Alexandria via LeMat-Bulk, functional PBE.

Unit cell a=4.9608 b=4.9608 c=4.9608 alpha=60.00 beta=60.00 gamma=60.00
With the nearest neighbours (Å) after each atom.
Fractional positions:
Cd1 0.0000 0.0000 0.0000  4 Al 3.04, 4 Ag 3.04
Ag1 0.7500 0.7500 0.7500  4 Cd 3.04, 4 Pu 3.04
Pu1 0.5000 0.5000 0.5000  4 Al 3.04, 4 Ag 3.04
Al1 0.2500 0.2500 0.2500  4 Cd 3.04, 4 Pu 3.04

Total magnetic moment   5.69 μB per cell
Energy   -5.48 eV/atom
Energy of formation from the pure elements   -21.7 meV per atom
SG   F-43m

***

[9]
An optimized crystal structure of RbAl2CdAg. Source: Alexandria via LeMat-Bulk, functional PBE.

Unit cell a=5.1730 b=6.5237 c=5.1730 alpha=90.00 beta=90.00 gamma=90.00
With the nearest neighbours (Å) after each atom.
Fractional positions:
Ag1 0.5000 0.5000 0.5000  4 Rb 3.66
Al1 0.0000 0.0000 0.5000  2 Cd 2.59
Al2 0.5000 0.0000 0.0000  2 Cd 2.59
Rb1 0.0000 0.5000 0.0000  2 Cd 3.26
Cd1 0.0000 0.0000 0.0000  4 Al 2.59

Total magnetic moment   0.00 μB per cell
Energy   -1.78 eV/atom
Energy of formation from the pure elements   666.7 meV per atom
SG   P4/mmm

***

[10]
An optimized crystal structure of RbAlCd2Ag. Source: Alexandria via LeMat-Bulk, functional PBE.

Unit cell a=5.4539 b=5.4539 c=5.2141 alpha=90.00 beta=90.00 gamma=90.00
With the nearest neighbours (Å) after each atom.
Fractional positions:
Ag1 0.0000 0.0000 0.5000  2 Al 2.61
Cd1 0.0000 0.5000 0.0000  2 Al 2.73
Cd2 0.5000 0.0000 0.0000  2 Al 2.73
Al1 0.0000 0.0000 0.0000  2 Ag 2.61, 4 Cd 2.73
Rb1 0.5000 0.5000 0.5000  8 Cd 3.77, 4 Ag 3.86

Total magnetic moment   0.00 μB per cell
Energy   -1.77 eV/atom
Energy of formation from the pure elements   104.7 meV per atom
SG   P4/mmm

***

[11]
An optimized crystal structure of Rb2AlCd6Ag. Source: Alexandria via LeMat-Bulk, functional PBE.

Unit cell a=7.6663 b=7.5832 c=7.6815 alpha=60.34 beta=59.20 gamma=90.04
With the nearest neighbours (Å) after each atom.
Fractional positions:
Cd1 0.2585 0.7542 0.0930  1 Ag 2.77, 1 Al 2.84, 2 Cd 3.06
Cd2 0.1483 0.2576 0.4943  1 Ag 2.77, 1 Al 2.86, 2 Cd 3.05-3.06
Cd3 0.8517 0.7424 0.5057  1 Ag 2.77, 1 Al 2.86, 2 Cd 3.05-3.06
Cd4 0.2476 0.1523 0.1040  1 Ag 2.77, 1 Al 2.84, 2 Cd 3.05-3.06
Cd5 0.7415 0.2458 0.9070  1 Ag 2.77, 1 Al 2.84, 2 Cd 3.06
Cd6 0.7524 0.8477 0.8960  1 Ag 2.77, 1 Al 2.84, 2 Cd 3.05-3.06
Al1 0.0000 0.0000 0.0000  6 Cd 2.84-2.86
Rb1 0.7000 0.2993 0.4014  1 Ag 3.79, 12 Cd 3.84-4.18
Rb2 0.3000 0.7007 0.5986  1 Ag 3.79, 12 Cd 3.84-4.18
Ag1 0.5000 0.5000 0.0000  6 Cd 2.77

Total magnetic moment   0.00 μB per cell
Energy   -1.40 eV/atom
Energy of formation from the pure elements   4.4 meV per atom
SG   P-1

***

[12]
An optimized crystal structure of AlCd2AgS4. Source: Alexandria via LeMat-Bulk, functional PBE.

Unit cell a=5.8490 b=5.8490 c=6.9332 alpha=114.94 beta=114.94 gamma=90.01
With the nearest neighbours (Å) after each atom.
Fractional positions:
S1 0.3879 0.8426 0.2305  1 Al 2.28
S2 0.6122 0.6122 0.7696  1 Al 2.28
S3 0.8426 0.3879 0.2305  1 Al 2.28
S4 0.1573 0.1573 0.7695  1 Al 2.28
Ag1 0.0002 0.0002 0.0005  4 S 2.59-2.60
Cd1 0.2500 0.7500 0.5000  4 S 2.56
Cd2 0.7500 0.2500 0.5000  4 S 2.56
Al1 0.5000 0.5000 0.9999  4 S 2.28

Total magnetic moment   0.00 μB per cell
ΔE_f (raw)   -0.698 eV per atom
Energy   -3.82 eV/atom
SG   I-42m

***

[13]
An optimized crystal structure of SmAlCdAg. Source: Alexandria via LeMat-Bulk, functional PBE.

Unit cell a=4.9715 b=4.9715 c=4.9715 alpha=60.00 beta=60.00 gamma=60.00
With the nearest neighbours (Å) after each atom.
Fractional positions:
Ag1 0.0000 0.0000 0.0000  4 Cd 3.04, 4 Sm 3.04
Cd1 0.7500 0.7500 0.7500  4 Ag 3.04, 4 Al 3.04
Sm1 0.2500 0.2500 0.2500  4 Al 3.04, 4 Ag 3.04
Al1 0.5000 0.5000 0.5000  4 Cd 3.04, 4 Sm 3.04

Total magnetic moment   0.00 μB per cell
Energy   -3.32 eV/atom
Energy of formation from the pure elements   -262.2 meV per atom
SG   F-43m

***

[14]
An optimized crystal structure of SmAl2CdAg5. Source: Alexandria via LeMat-Bulk, functional PBE.

Unit cell a=4.9224 b=4.9224 c=7.7680 alpha=90.00 beta=90.00 gamma=90.00
With the nearest neighbours (Å) after each atom.
Fractional positions:
Ag1 0.5000 0.0000 0.2632  2 Al 2.58
Ag2 0.5000 0.0000 0.7368  2 Al 2.58
Ag3 0.0000 0.5000 0.7368  2 Al 2.58
Ag4 0.0000 0.5000 0.2632  2 Al 2.58
Ag5 0.5000 0.5000 0.5000  2 Al 2.63
Sm1 0.0000 0.0000 0.5000  8 Ag 3.07
Cd1 0.0000 0.0000 0.0000  8 Ag 3.20
Al1 0.5000 0.5000 0.1616  1 Al 2.51, 5 Ag 2.58-2.63
Al2 0.5000 0.5000 0.8384  1 Al 2.51, 5 Ag 2.58-2.63

Total magnetic moment   0.00 μB per cell
Energy   -3.06 eV/atom
Energy of formation from the pure elements   -15.8 meV per atom
SG   P4/mmm

***

[15]
An optimized crystal structure of Sm2Al4CdAg3. Source: Alexandria via LeMat-Bulk, functional PBE.

Unit cell a=4.3694 b=4.3694 c=10.9863 alpha=90.00 beta=90.00 gamma=90.00
With the nearest neighbours (Å) after each atom.
Fractional positions:
Al1 0.0000 0.0000 0.0000  4 Ag 2.60
Al2 0.5000 0.5000 0.0000  4 Ag 2.60
Al3 0.5000 0.0000 0.6442  3 Ag 2.49-2.70, 2 Cd 2.70
Al4 0.0000 0.5000 0.3558  3 Ag 2.49-2.70, 2 Cd 2.70
Ag1 0.5000 0.0000 0.8712  5 Al 2.49-2.60
Ag2 0.0000 0.0000 0.5000  4 Al 2.70
Ag3 0.0000 0.5000 0.1288  5 Al 2.49-2.60
Sm1 0.5000 0.0000 0.2450  8 Al 3.32-3.47, 6 Ag 3.34-3.55, 2 Cd 3.55
Sm2 0.0000 0.5000 0.7550  8 Al 3.32-3.47, 6 Ag 3.34-3.55, 2 Cd 3.55
Cd1 0.5000 0.5000 0.5000  4 Al 2.70

Total magnetic moment   0.00 μB per cell
Energy   -3.71 eV/atom
Energy of formation from the pure elements   -324.5 meV per atom
SG   P-4m2

***

[16]
An optimized crystal structure of AlCd2Ag7Sn2. Source: Alexandria via LeMat-Bulk, functional PBE.

Unit cell a=3.9584 b=3.9584 c=16.0290 alpha=83.18 beta=83.18 gamma=90.06
With the nearest neighbours (Å) after each atom.
Fractional positions:
Al1 0.0000 0.0000 0.0000  12 Ag 2.80-2.91
Ag1 0.5653 0.0657 0.8650  6 Ag 2.80-2.91, 2 Al 2.91, 2 Cd 2.94-2.95
Ag2 0.7278 0.7278 0.5435  5 Sn 2.85-3.19, 1 Cd 2.90, 4 Ag 3.10-3.13
Ag3 0.2722 0.2722 0.4565  5 Sn 2.85-3.19, 1 Cd 2.90, 4 Ag 3.10-3.13
Ag4 0.4347 0.9343 0.1350  6 Ag 2.80-2.91, 2 Al 2.91, 2 Cd 2.94-2.95
Ag5 0.5000 0.5000 0.0000  4 Al 2.80, 8 Ag 2.91
Ag6 0.9343 0.4347 0.1350  6 Ag 2.80-2.91, 2 Al 2.91, 2 Cd 2.94-2.95
Ag7 0.0657 0.5653 0.8650  6 Ag 2.80-2.91, 2 Al 2.91, 2 Cd 2.94-2.95
Cd1 0.6332 0.6332 0.7272  5 Ag 2.90-2.95, 4 Sn 3.13-3.15
Cd2 0.3668 0.3668 0.2728  5 Ag 2.90-2.95, 4 Sn 3.13-3.15
Sn1 0.8215 0.8215 0.3629  5 Ag 2.85-3.19, 4 Cd 3.13-3.15
Sn2 0.1785 0.1785 0.6371  5 Ag 2.85-3.19, 4 Cd 3.13-3.15

Total magnetic moment   0.00 μB per cell
Energy   -2.74 eV/atom
Energy of formation from the pure elements   58.3 meV per atom
SG   C2/m

***

[17]
An optimized crystal structure of Al2CdAg7Sn2. Source: Alexandria via LeMat-Bulk, functional PBE.

Unit cell a=4.2515 b=4.2515 c=13.0450 alpha=89.97 beta=89.97 gamma=90.58
With the nearest neighbours (Å) after each atom.
Fractional positions:
Ag1 0.5000 0.9999 0.1621  2 Al 2.90-2.91, 2 Sn 2.97, 6 Ag 2.99-3.02, 2 Cd 3.00
Ag2 0.5000 0.5000 0.0000  4 Cd 2.99-3.02, 8 Ag 3.00
Ag3 0.5000 0.0001 0.8379  2 Al 2.90-2.91, 2 Sn 2.97, 6 Ag 2.99-3.02, 2 Cd 3.00
Ag4 0.0001 0.5000 0.8379  2 Al 2.90-2.91, 2 Sn 2.97, 6 Ag 2.99-3.02, 2 Cd 3.00
Ag5 0.2689 0.2689 0.4999  3 Ag 2.77-3.03, 2 Al 2.79-2.80, 2 Sn 2.83-2.84
Ag6 0.7311 0.7311 0.5001  3 Ag 2.77-3.03, 2 Al 2.79-2.80, 2 Sn 2.83-2.84
Ag7 0.9999 0.5000 0.1621  2 Al 2.90-2.91, 2 Sn 2.97, 6 Ag 2.99-3.02, 2 Cd 3.00
Cd1 0.0000 0.0000 0.0000  12 Ag 2.99-3.02
Al1 0.4998 0.4998 0.6863  6 Ag 2.79-2.91, 4 Sn 2.99-3.02
Al2 0.5002 0.5002 0.3137  6 Ag 2.79-2.91, 4 Sn 2.99-3.02
Sn1 0.9999 0.9999 0.6790  6 Ag 2.83-2.97, 4 Al 2.99-3.02
Sn2 0.0001 0.0001 0.3210  6 Ag 2.83-2.97, 4 Al 2.99-3.02

Total magnetic moment   0.00 μB per cell
Energy   -3.00 eV/atom
Energy of formation from the pure elements   34.9 meV per atom
SG   Cmmm

***

[18]
An optimized crystal structure of SrAlCd2Ag4. Source: Alexandria via LeMat-Bulk, functional PBE.

Unit cell a=4.7561 b=4.7561 c=9.4537 alpha=75.43 beta=75.43 gamma=60.00
With the nearest neighbours (Å) after each atom.
Fractional positions:
Ag1 0.5967 0.5967 0.2099  1 Al 2.62, 3 Cd 2.79
Ag2 0.1355 0.1355 0.5934  3 Al 2.87, 4 Cd 2.98-3.03
Ag3 0.4033 0.4033 0.7901  1 Al 2.62, 3 Cd 2.79
Ag4 0.8645 0.8645 0.4066  3 Al 2.87, 4 Cd 2.98-3.03
Cd1 0.2453 0.2453 0.2641  7 Ag 2.79-3.03
Cd2 0.7547 0.7547 0.7359  7 Ag 2.79-3.03
Al1 0.5000 0.5000 0.5000  8 Ag 2.62-2.87
Sr1 0.0000 0.0000 0.0000  8 Ag 3.34-3.68, 6 Cd 3.64

Total magnetic moment   0.00 μB per cell
Energy   -2.44 eV/atom
Energy of formation from the pure elements   -107.4 meV per atom
SG   R-3m

***

[19]
An optimized crystal structure of SrAl2CdAg5. Source: Alexandria via LeMat-Bulk, functional PBE.

Unit cell a=5.0315 b=5.0315 c=7.7725 alpha=90.00 beta=90.00 gamma=90.00
With the nearest neighbours (Å) after each atom.
Fractional positions:
Ag1 0.5000 0.5000 0.5000  2 Al 2.62
Ag2 0.5000 0.0000 0.2408  2 Al 2.59
Ag3 0.0000 0.5000 0.7592  2 Al 2.59
Ag4 0.0000 0.5000 0.2408  2 Al 2.59
Ag5 0.5000 0.0000 0.7592  2 Al 2.59
Sr1 0.0000 0.0000 0.5000  12 Ag 3.22-3.56
Al1 0.5000 0.5000 0.1629  1 Al 2.53, 5 Ag 2.59-2.62
Al2 0.5000 0.5000 0.8371  1 Al 2.53, 5 Ag 2.59-2.62
Cd1 0.0000 0.0000 0.0000  8 Ag 3.14

Total magnetic moment   0.00 μB per cell
Energy   -2.70 eV/atom
Energy of formation from the pure elements   -0.3 meV per atom
SG   P4/mmm

***

[20]
An optimized crystal structure of SrAlCdAg. Source: Alexandria via LeMat-Bulk, functional PBE.

Unit cell a=5.1216 b=5.1216 c=5.1216 alpha=60.00 beta=60.00 gamma=60.00
With the nearest neighbours (Å) after each atom.
Fractional positions:
Sr1 0.5000 0.5000 0.5000  4 Cd 3.14, 4 Ag 3.14
Ag1 0.2500 0.2500 0.2500  4 Sr 3.14, 4 Al 3.14
Al1 0.0000 0.0000 0.0000  4 Ag 3.14, 4 Cd 3.14
Cd1 0.7500 0.7500 0.7500  4 Al 3.14, 4 Sr 3.14

Total magnetic moment   0.00 μB per cell
Energy   -2.42 eV/atom
Energy of formation from the pure elements   -123.0 meV per atom
SG   F-43m